Y2IrW | PBEsol | relaxed

```
4
Lattice="-2.014 2.014 4.901 2.014 -2.014 4.901 2.014 2.014 -4.901" Properties=species:S:1:pos:R:3 pbc="T T T"
Y 0.000 0.000 0.000
Y 0.000 2.014 2.451
Ir 0.000 0.000 4.901
W 2.014 0.000 2.451
```

* DOS(E_F): 4.6 states/eV/cell
* final energy: -36.2 eV for the cell shown

=====

Zn2IrW | PBEsol | relaxed

```
4
Lattice="4.406 -1.376 0.000 4.406 1.376 0.000 -0.640 0.000 4.710" Properties=species:S:1:pos:R:3 pbc="T T T"
Zn 0.000 0.000 0.000
Zn 1.675 0.000 3.739
Ir 6.398 0.000 1.363
W 4.034 0.000 2.345
```

* DOS(E_F): 2.0 states/eV/cell
* relative energy among the computed polymorphs: 0.00 eV per formula unit
* final energy: -26.6 eV for the cell shown

=====

ZnIr2W | PBEsol | relaxed

```
4
Lattice="2.787 0.000 0.000 0.000 3.666 0.000 0.000 0.000 5.573" Properties=species:S:1:pos:R:3 pbc="T T T"
Zn 0.000 0.000 0.000
Ir 1.394 1.833 1.383
Ir 1.394 1.833 4.189
W 0.000 0.000 2.786
```

* DOS(E_F): 2.2 states/eV/cell
* final energy: -35.9 eV for the cell shown

=====

ZnIr2W | PBEsol | relaxed

```
4
Lattice="3.972 0.000 0.000 0.000 3.972 0.000 0.000 0.000 3.638" Properties=species:S:1:pos:R:3 pbc="T T T"
Zn 0.000 0.000 0.000
Ir 0.000 1.986 1.819
Ir 1.986 0.000 1.819
W 1.986 1.986 0.000
```

* DOS(E_F): 4.1 states/eV/cell
* final energy: -34.8 eV for the cell shown

=====

ZnIr2W | PBEsol | relaxed

```
4
Lattice="2.819 0.000 0.000 0.000 2.819 0.000 0.000 0.000 7.128" Properties=species:S:1:pos:R:3 pbc="T T T"
Zn 0.000 0.000 0.000
Ir 1.409 1.409 1.752
Ir 1.409 1.409 5.376
W 0.000 0.000 3.564
```

* DOS(E_F): 2.0 states/eV/cell
* final energy: -36.3 eV for the cell shown

=====

Zn2IrW | PBEsol | relaxed

```
4
Lattice="-1.439 2.220 4.377 1.439 -2.220 4.377 1.439 2.220 -4.377" Properties=species:S:1:pos:R:3 pbc="T T T"
Zn 0.000 0.000 0.000
Zn 0.000 2.220 2.281
Ir 1.439 0.000 2.167
W 0.000 0.000 4.383
```

* DOS(E_F): 1.6 states/eV/cell
* relative energy among the computed polymorphs: 0.31 eV per formula unit
* final energy: -26.3 eV for the cell shown

=====

ZnIr2W | PBEsol | relaxed

```
4
Lattice="0.000 3.073 3.073 3.073 0.000 3.073 3.073 3.073 0.000" Properties=species:S:1:pos:R:3 pbc="T T T"
Zn 0.000 0.000 0.000
Ir 1.536 1.536 1.536
Ir 4.609 4.609 4.609
W 3.073 3.073 3.073
```

* DOS(E_F): 6.9 states/eV/cell
* final energy: -34.8 eV for the cell shown

=====

Zr2IrW2 | PBEsol | relaxed

```
5
Lattice="-1.847 1.847 6.850 1.847 -1.847 6.850 1.847 1.847 -6.850" Properties=species:S:1:pos:R:3 pbc="T T T"
Zr 1.847 0.000 3.425
Zr 0.000 1.847 3.425
Ir 0.000 0.000 0.000
W 0.000 0.000 5.695
W 0.000 0.000 8.004
```

* DOS(E_F): 5.5 states/eV/cell
* final energy: -49.6 eV for the cell shown

=====

no.,energy of formation (meV/atom)
1,275
2,48
3,-221
4,63
5,-308
6,125
7,61
8,1195